Material: SiWF3
Method: DFT, PBE with a Hubbard U
State: optimized geometry

Geometry as CIF:
```
data_SiWF3
_chemical_formula_sum 'Si1 W1 F3'
_cell_length_a 4.329
_cell_length_b 4.329
_cell_length_c 4.329
_cell_angle_alpha 90.00
_cell_angle_beta 90.00
_cell_angle_gamma 90.00
_space_group_name_H-M_alt 'P 1'
_space_group_IT_number 1
_space_group_name_Hall 'P 1'
loop_
_atom_site_label
_atom_site_fract_x
_atom_site_fract_y
_atom_site_fract_z
Si1 0.500 0.500 0.500
W1 0.000 0.000 0.000
F1 0.000 0.500 0.000
F2 0.000 0.000 0.500
F3 0.500 0.000 0.000
```

Computed properties:
**Polymorph energy (0 for the lowest one)**: 0 meV/atom
**Magnetic moment**: 0.552 μB/atom